Entry 1:
{"formula": "MgZr5", "functional": "PBE", "state": "optimized geometry", "lattice_angstrom": [[3.156, 0.000, 0.000], [0.000, 3.156, 0.000], [0.000, 0.000, 13.916]], "species": ["Mg", "Zr", "Zr", "Zr", "Zr", "Zr"], "fractional_positions": [[0.000, 0.000, 0.000], [0.000, 0.000, 0.335], [0.000, 0.000, 0.665], [0.500, 0.500, 0.172], [0.500, 0.500, 0.500], [0.500, 0.500, 0.828]], "dft_energy_ev_per_atom": -7.370, "delta_e_f_mev_per_atom": 20, "magmom_total_mub_per_cell": 0.000}

***

Entry 2:
{"formula": "Mg2Zr", "functional": "PBE", "state": "optimized geometry", "lattice_angstrom": [[3.101, 0.000, 0.000], [0.000, 17.213, 0.000], [0.000, 0.000, 5.086]], "species": ["Mg", "Mg", "Mg", "Mg", "Mg", "Mg", "Mg", "Mg", "Zr", "Zr", "Zr", "Zr"], "fractional_positions": [[0.000, 0.056, 0.250], [0.000, 0.389, 0.250], [0.000, 0.611, 0.750], [0.000, 0.944, 0.750], [0.500, 0.111, 0.750], [0.500, 0.444, 0.750], [0.500, 0.556, 0.250], [0.500, 0.889, 0.250], [0.000, 0.273, 0.750], [0.000, 0.727, 0.250], [0.500, 0.227, 0.250], [0.500, 0.773, 0.750]], "dft_energy_ev_per_atom": -3.875, "delta_e_f_mev_per_atom": 37, "magmom_total_mub_per_cell": 0.000}

***

Entry 3:
{"formula": "Mg3Zr4", "functional": "PBE", "state": "optimized geometry", "lattice_angstrom": [[3.085, 0.000, 0.000], [0.000, 3.085, 0.000], [0.000, 0.000, 33.976]], "species": ["Mg", "Mg", "Mg", "Mg", "Mg", "Mg", "Zr", "Zr", "Zr", "Zr", "Zr", "Zr", "Zr", "Zr"], "fractional_positions": [[0.000, 0.000, 0.000], [0.000, 0.000, 0.285], [0.000, 0.000, 0.715], [0.500, 0.500, 0.215], [0.500, 0.500, 0.500], [0.500, 0.500, 0.785], [0.000, 0.000, 0.141], [0.000, 0.000, 0.425], [0.000, 0.000, 0.575], [0.000, 0.000, 0.859], [0.500, 0.500, 0.075], [0.500, 0.500, 0.359], [0.500, 0.500, 0.641], [0.500, 0.500, 0.925]], "dft_energy_ev_per_atom": -5.592, "delta_e_f_mev_per_atom": -24, "magmom_total_mub_per_cell": 0.000, "de_polymorph_kj_per_mol_atoms": 0.0}